An optimized crystal structure of NaPaIn2, computed with PBE.

Cell: 3.1433 3.1433 10.1743 Å, 90.00 90.00 90.00°
Closest atoms and distances in Å follow each position.
Space group P4/mmm (No. 123)
Symmetry-distinct sites (fractional):
1 Na 0.0000 0.0000 0.0000  4 Na 3.14, 8 In 3.40
2 Pa 0.0000 0.0000 0.5000  4 Pa 3.14, 8 In 3.36
3 In 0.5000 0.5000 0.2524  4 In 3.14, 4 Pa 3.36, 4 Na 3.40

Output
VASP energy   -16.463 eV/cell
Distance to the lowest polymorph of the same formula   0.0 kJ/mol of atoms

---

An optimized crystal structure of RbIr, computed with PBE.

Cell: 9.9958 9.9958 9.9958 Å, 90.00 90.00 90.00°
Closest atoms and distances in Å follow each position.
Space group Pm-3n (No. 223)
Symmetry-distinct sites (fractional):
1 Rb 0.0000 0.2500 0.5000  4 Ir 3.53
2 Ir 0.0000 0.5000 0.2500  4 Rb 3.53

Output
VASP energy   -32.176 eV/cell
Distance to the lowest polymorph of the same formula   179.1 kJ/mol of atoms

---

An optimized crystal structure of ScTc2PbO8, computed with PBE.

Cell: 5.8569 5.8569 6.9097 Å, 90.00 90.00 120.00°
Closest atoms and distances in Å follow each position.
Space group P-3m1 (No. 164)
Symmetry-distinct sites (fractional):
1 Sc 0.0000 0.0000 0.0000  6 O 2.11
2 Tc 0.3333 0.6667 0.2677  4 O 1.76-1.83
3 Pb 0.0000 0.0000 0.5000  6 O 2.67
4 O 0.1605 0.3210 0.1936  1 Tc 1.83
5 O 0.3333 0.6667 0.5229  1 Tc 1.76

Output
VASP energy   -90.568 eV/cell
Raw formation energy   -1.6775 eV/atom

---

An optimized crystal structure of CaLaSi2Tc, computed with PBE.

Cell: 4.9634 4.9634 5.2935 Å, 90.00 90.00 90.00°
Closest atoms and distances in Å follow each position.
Space group P4/mmm (No. 123)
Symmetry-distinct sites (fractional):
1 Ca 0.0000 0.0000 0.0000  4 Si 2.48, 2 La 2.65
2 La 0.0000 0.0000 0.5000  2 Ca 2.65
3 Si 0.0000 0.5000 0.0000  2 Ca 2.48
4 Tc 0.5000 0.5000 0.5000  4 La 3.51, 8 Si 3.63

Output
VASP energy   -19.100 eV/cell
Raw formation energy   1.8083 eV/atom

---

An optimized crystal structure of Tm6ScRh2, computed with PBE.

Cell: 15.3338 3.6831 10.4954 Å, 90.00 129.63 90.00°
Closest atoms and distances in Å follow each position.
Space group C2/m (No. 12)
Symmetry-distinct sites (fractional):
1 Tm 0.0206 0.0000 0.1895  2 Rh 2.84
2 Tm 0.1891 0.5000 0.5502  2 Sc 3.18, 7 Tm 3.24-3.45, 2 Rh 3.30-3.39
3 Tm 0.2249 0.5000 0.1170  3 Rh 2.85-2.92
4 Sc 0.0000 0.0000 0.5000  4 Rh 2.80
5 Rh 0.0951 0.5000 0.7588  2 Sc 2.80, 5 Tm 2.84-2.92

Output
VASP energy   -103.730 eV/cell

---

An optimized crystal structure of KIrI3, computed with PBE.

Cell: 5.5504 5.5504 5.5504 Å, 90.00 90.00 90.00°
Closest atoms and distances in Å follow each position.
Space group Pm-3m (No. 221)
Symmetry-distinct sites (fractional):
1 K 0.0000 0.0000 0.0000  12 I 3.92
2 Ir 0.5000 0.5000 0.5000  6 I 2.78
3 I 0.0000 0.5000 0.5000  2 Ir 2.78

Output
VASP energy   -16.037 eV/cell
Raw formation energy   -0.2856 eV/atom

---

An optimized crystal structure of TbY9Th2, computed with PBE.

Cell: 5.0548 5.0548 15.1519 Å, 90.00 90.00 90.00°
Closest atoms and distances in Å follow each position.
Space group P4/mmm (No. 123)
Symmetry-distinct sites (fractional):
1 Tb 0.0000 0.0000 0.0000  12 Y 3.57-3.59
2 Y 0.0000 0.5000 0.1687  8 Y 3.55-3.59, 2 Th 3.56, 2 Tb 3.59
3 Y 0.0000 0.5000 0.5000  4 Th 3.57, 8 Y 3.57-3.58
4 Y 0.5000 0.5000 0.0000  4 Tb 3.57, 8 Y 3.59
5 Y 0.5000 0.5000 0.3331  8 Y 3.55-3.58, 4 Th 3.57
6 Th 0.0000 0.0000 0.3341  12 Y 3.56-3.57

Output
VASP energy   -77.177 eV/cell

---

An optimized crystal structure of SrSmZnHg, computed with PBE.

Cell: 7.6464 7.6464 7.6464 Å, 90.00 90.00 90.00°
Closest atoms and distances in Å follow each position.
Space group F-43m (No. 216)
Symmetry-distinct sites (fractional):
1 Sr 0.0000 0.0000 0.0000  4 Hg 3.31, 4 Zn 3.31
2 Sm 0.0000 0.0000 0.5000  4 Zn 3.31, 4 Hg 3.31
3 Zn 0.2500 0.2500 0.7500  4 Sr 3.31, 4 Sm 3.31
4 Hg 0.2500 0.2500 0.2500  4 Sr 3.31, 4 Sm 3.31

Output
VASP energy   -37.293 eV/cell
Distance to the lowest polymorph of the same formula   3.5 kJ/mol of atoms

---

An optimized crystal structure of La3Pr3In2, computed with PBE.

Cell: 9.0844 9.0844 11.1297 Å, 90.00 90.00 120.00°
Closest atoms and distances in Å follow each position.
Space group R32 (No. 155, hexagonal axes)
Symmetry-distinct sites (fractional):
1 La 0.0000 0.2514 0.0000  2 Pr 3.21, 2 In 3.58
2 Pr 0.0000 0.7518 0.5000  2 La 3.21, 2 In 3.57
3 In 0.0000 0.0000 0.2514  6 Pr 3.57-3.61, 6 La 3.58-3.61

Output
VASP energy   -109.110 eV/cell
Distance to the lowest polymorph of the same formula   0.0 kJ/mol of atoms

---

An optimized crystal structure of LaCdTc2, computed with PBE.

Cell: 6.1765 9.3939 2.9189 Å, 90.00 113.95 90.00°
Closest atoms and distances in Å follow each position.
Space group C2/m (No. 12)
Symmetry-distinct sites (fractional):
1 La 0.0000 0.0000 0.0000  4 Tc 2.86, 2 La 2.92, 2 Cd 3.09
2 Cd 0.0000 0.5000 0.0000  4 Tc 2.86, 2 Cd 2.92, 2 La 3.09
3 Tc 0.2500 0.2500 0.5000  2 La 2.86, 2 Cd 2.86, 4 Tc 2.92-3.09

Output
VASP energy   -48.785 eV/cell

---

An optimized crystal structure of LaTa3W, computed with PBE.

Cell: 4.9835 4.9835 4.9835 Å, 90.00 90.00 90.00°
Closest atoms and distances in Å follow each position.
Space group Pm-3m (No. 221)
Symmetry-distinct sites (fractional):
1 La 0.0000 0.0000 0.0000  12 Ta 3.52
2 Ta 0.0000 0.5000 0.5000  2 W 2.49
3 W 0.5000 0.5000 0.5000  6 Ta 2.49

Output
VASP energy   -48.297 eV/cell
Distance to the lowest polymorph of the same formula   0.0 kJ/mol of atoms

---

An optimized crystal structure of NbAlSe2Cl, computed with PBE.

Cell: 5.0890 5.0890 4.4962 Å, 90.00 90.00 90.00°
Closest atoms and distances in Å follow each position.
Space group P4/mmm (No. 123)
Symmetry-distinct sites (fractional):
1 Nb 0.0000 0.0000 0.0000  8 Se 3.40, 4 Al 3.60
2 Al 0.5000 0.5000 0.0000  2 Cl 2.25
3 Se 0.0000 0.5000 0.5000  2 Cl 2.54
4 Cl 0.5000 0.5000 0.5000  2 Al 2.25

Output
VASP energy   -17.904 eV/cell
Raw formation energy   0.9448 eV/atom

---

An optimized crystal structure of MnOs3N, computed with PBE.

Cell: 4.0279 4.0279 4.0279 Å, 90.00 90.00 90.00°
Closest atoms and distances in Å follow each position.
Space group Pm-3m (No. 221)
Symmetry-distinct sites (fractional):
1 Mn 0.0000 0.0000 0.0000  12 Os 2.85
2 Os 0.0000 0.5000 0.5000  2 N 2.01
3 N 0.5000 0.5000 0.5000  6 Os 2.01

Output
VASP energy   -48.240 eV/cell
Raw formation energy   0.5888 eV/atom
Distance to the lowest polymorph of the same formula   0.0 kJ/mol of atoms

---

An optimized crystal structure of H2PbW2, computed with PBE.

Cell: 3.2447 3.2447 11.8318 Å, 90.00 90.00 90.00°
Closest atoms and distances in Å follow each position.
Space group I4/mmm (No. 139)
Symmetry-distinct sites (fractional):
1 H 0.0000 0.5000 0.2500  4 W 1.87
2 Pb 0.0000 0.0000 0.0000  8 W 3.06, 4 Pb 3.24, 8 H 3.37
3 W 0.0000 0.0000 0.3290  4 H 1.87

Output
VASP energy   -66.605 eV/cell
Distance to the lowest polymorph of the same formula   0.0 kJ/mol of atoms

---

An optimized crystal structure of PmMgNiPd, computed with PBE.

Cell: 6.7578 6.7578 6.7578 Å, 90.00 90.00 90.00°
Closest atoms and distances in Å follow each position.
Space group F-43m (No. 216)
Symmetry-distinct sites (fractional):
1 Pm 0.0000 0.0000 0.0000  4 Ni 2.93, 4 Pd 2.93
2 Mg 0.0000 0.0000 0.5000  4 Ni 2.93, 4 Pd 2.93
3 Ni 0.2500 0.2500 0.7500  4 Mg 2.93, 4 Pm 2.93
4 Pd 0.2500 0.2500 0.2500  4 Mg 2.93, 4 Pm 2.93

Output
VASP energy   -76.321 eV/cell

---

An optimized crystal structure of Tb3Er2Ni2, computed with PBE.

Cell: 12.0915 3.6091 8.9140 Å, 90.00 116.25 90.00°
Closest atoms and distances in Å follow each position.
Space group C2/m (No. 12)
Symmetry-distinct sites (fractional):
1 Tb 0.0000 0.0000 0.0000  4 Ni 2.87
2 Tb 0.1149 0.0000 0.4337  3 Ni 2.82-2.92
3 Er 0.1675 0.5000 0.8117  2 Ni 2.80
4 Ni 0.1743 0.5000 0.2366  2 Er 2.80, 5 Tb 2.82-2.92

Output
VASP energy   -72.675 eV/cell

---

An optimized crystal structure of NaTlO2, computed with PBE.

Cell: 3.4525 3.4525 4.5336 Å, 90.00 90.00 90.00°
Closest atoms and distances in Å follow each position.
Space group P4/mmm (No. 123)
Symmetry-distinct sites (fractional):
1 Na 0.0000 0.0000 0.0000  6 O 2.27-2.44
2 Tl 0.5000 0.5000 0.5000  6 O 2.27-2.44
3 O 0.0000 0.0000 0.5000  2 Na 2.27, 4 Tl 2.44
4 O 0.5000 0.5000 0.0000  2 Tl 2.27, 4 Na 2.44

Output
VASP energy   -17.323 eV/cell
Raw formation energy   -0.9304 eV/atom

---

An optimized crystal structure of Pu2CoH5, computed with PBE.

Cell: 4.8581 4.8581 7.1360 Å, 90.00 90.00 90.00°
Closest atoms and distances in Å follow each position.
Space group I4mm (No. 107)
Symmetry-distinct sites (fractional):
1 Pu 0.0000 0.5000 0.0000  10 H 2.43-2.51
2 Co 0.0000 0.0000 0.2534  5 H 1.63-1.70
3 H 0.0000 0.0000 0.4919  1 Co 1.70
4 H 0.2368 0.2368 0.2444  1 Co 1.63

Output
VASP energy   -109.717 eV/cell

---

An optimized crystal structure of Tb2Pm6SmHo, computed with PBE.

Cell: 9.2291 15.2966 9.6758 Å, 90.00 97.44 90.00°
Closest atoms and distances in Å follow each position.
Space group C2/c (No. 15)
Symmetry-distinct sites (fractional):
1 Tb 0.2495 0.0500 0.4545  5 Pm 3.30-3.52, 2 Sm 3.43-3.46, 1 Ho 3.55
2 Pm 0.0619 0.3190 0.9450  7 Pm 3.45-3.80, 1 Tb 3.52, 1 Sm 3.69
3 Pm 0.0995 0.1084 0.1188  4 Pm 3.28-3.63, 3 Tb 3.30-3.48, 2 Ho 3.46-3.58
4 Pm 0.2109 0.2767 0.3135  2 Pm 3.28-3.63, 1 Tb 3.46, 1 Ho 3.48, 1 Sm 3.60
5 Sm 0.0000 0.4742 0.2500  4 Tb 3.43-3.46, 4 Pm 3.60-3.69
6 Ho 0.0000 0.0898 0.7500  6 Pm 3.46-3.58, 2 Tb 3.55

Output
VASP energy   -183.622 eV/cell

---

An optimized crystal structure of KErAgF5, computed with PBE.

Cell: 6.9170 10.9264 8.0899 Å, 90.00 102.47 90.00°
Closest atoms and distances in Å follow each position.
Space group C2/c (No. 15)
Symmetry-distinct sites (fractional):
1 K 0.0000 0.1574 0.2500  3 F 2.64-2.89
2 Er 0.0000 0.5000 0.0000  6 F 2.14-2.20
3 Ag 0.0000 0.1681 0.7500  4 F 2.34-2.37
4 F 0.0000 0.4218 0.2500  2 Er 2.20
5 F 0.1205 0.3290 0.6044  1 Er 2.14, 1 Ag 2.37
6 F 0.1988 0.0631 0.9764  1 Er 2.16, 1 Ag 2.34

Output
VASP energy   -167.548 eV/cell
Raw formation energy   -3.0024 eV/atom

---

An optimized crystal structure of Sr2Tl2Cd3, computed with PBE.

Cell: 11.9643 5.0211 7.5872 Å, 90.00 112.70 90.00°
Closest atoms and distances in Å follow each position.
Space group C2/m (No. 12)
Symmetry-distinct sites (fractional):
1 Sr 0.1471 0.0000 0.2645  4 Tl 3.46-3.59, 6 Cd 3.50-3.88
2 Tl 0.1538 0.0000 0.7373  5 Cd 3.09-3.22
3 Cd 0.0000 0.5000 0.5000  2 Cd 2.94, 4 Tl 3.22
4 Cd 0.0921 0.5000 0.9201  2 Cd 2.90-2.94, 3 Tl 3.09-3.15

Output
VASP energy   -25.797 eV/cell

---

An optimized crystal structure of LiPaTcOs, computed with PBE.

Cell: 6.4300 6.4300 6.4300 Å, 90.00 90.00 90.00°
Closest atoms and distances in Å follow each position.
Space group F-43m (No. 216)
Symmetry-distinct sites (fractional):
1 Li 0.0000 0.0000 0.0000  4 Tc 2.78, 4 Os 2.78
2 Pa 0.0000 0.0000 0.5000  4 Tc 2.78, 4 Os 2.78
3 Tc 0.2500 0.2500 0.2500  4 Li 2.78, 4 Pa 2.78
4 Os 0.2500 0.2500 0.7500  4 Li 2.78, 4 Pa 2.78

Output
VASP energy   -132.334 eV/cell

---

An optimized crystal structure of MgFeRu, computed with PBE.

Cell: 2.8047 5.1941 6.4697 Å, 80.46 77.57 74.34°
Closest atoms and distances in Å follow each position.
Space group P-1 (No. 2)
Symmetry-distinct sites (fractional):
1 Mg 0.0906 0.1292 0.1895  5 Fe 2.70-2.85, 4 Ru 2.79-2.86, 2 Mg 2.80
2 Fe 0.3702 0.5945 0.1623  1 Fe 2.35, 2 Ru 2.48-2.49
3 Ru 0.3419 0.2762 0.5411  3 Fe 2.48-2.72, 2 Ru 2.64

Output
VASP energy   -37.525 eV/cell
Distance to the lowest polymorph of the same formula   12.9 kJ/mol of atoms

---

An optimized crystal structure of Er, computed with PBE.

Cell: 5.4599 5.4599 5.4361 Å, 90.00 90.00 120.00°
Closest atoms and distances in Å follow each position.
Space group P6_3/mmc (No. 194)
Symmetry-distinct sites (fractional):
1 Er 0.0000 0.0000 0.2500  2 Er 2.72
2 Er 0.3333 0.6667 0.2500  3 Er 3.15

Output
VASP energy   -14.536 eV/cell
Distance to the lowest polymorph of the same formula   89.6 kJ/mol of atoms

---

An optimized crystal structure of BaAcIn, computed with PBE.

Cell: 4.2133 4.2133 14.4732 Å, 90.00 90.00 90.00°
Closest atoms and distances in Å follow each position.
Space group I4mm (No. 107)
Symmetry-distinct sites (fractional):
1 Ba 0.0000 0.0000 0.0000  4 In 3.69, 1 Ac 3.97
2 Ac 0.0000 0.0000 0.2742  4 In 3.47
3 In 0.0000 0.0000 0.6507  4 Ac 3.47, 4 Ba 3.69

Output
VASP energy   -18.923 eV/cell
Distance to the lowest polymorph of the same formula   4.7 kJ/mol of atoms